The following is a DFT calculation (PBE+U) of an optimized crystal structure of VBi3F.

```
VBi3F
1.0
5.041 0.000 0.000
0.000 5.041 0.000
0.000 0.000 5.041
V Bi F
1 3 1
direct
0.500 0.500 0.500
0.000 0.500 0.000
0.000 0.000 0.500
0.500 0.000 0.000
0.000 0.000 0.000
```

E above lowest polymorph in eV/atom: 0.000
Total magnetic moment in μB/f.u.: 3.233